1.
Here is an optimized crystal structure of CsH2F6 from Alexandria via LeMat-Bulk. Energies are from GGA-PBE.

Values from the calculation:
VASP energy, eV per cell: -120.01
Volume, A^3/atom: 17.5

CIF file:
```
data_CsH2F6
_chemical_formula_sum 'Cs4 H8 F24'
_space_group_name_H-M_alt 'C 1 2/c 1'
_space_group_IT_number 15
_cell_length_a 17.963
_cell_length_b 7.641
_cell_length_c 4.753
_cell_angle_alpha 90.00
_cell_angle_beta 104.98
_cell_angle_gamma 90.00
loop_
_space_group_symop_operation_xyz
'x,y,z'
'-x,-y,-z'
'-x,y,-z+1/2'
'x,-y,z+1/2'
'x+1/2,y+1/2,z'
'-x+1/2,-y+1/2,-z'
'-x+1/2,y+1/2,-z+1/2'
'x+1/2,-y+1/2,z+1/2'
loop_
_atom_site_label
_atom_site_fract_x
_atom_site_fract_y
_atom_site_fract_z
Cs1 0.000 0.249 0.250
H1 0.248 0.484 0.178
F1 0.099 0.139 0.850
F2 0.099 0.359 0.843
F3 0.248 0.433 0.365
```

***

2.
Here is an optimized crystal structure of LiAlSe2 from Alexandria via LeMat-Bulk. Energies are from GGA-PBE.

Values from the calculation:
VASP energy, eV per cell: -30.92
Volume, A^3/atom: 28.0
Uncorrected formation energy, eV per atom: -0.71

CIF file:
```
data_LiAlSe2
_chemical_formula_sum 'Li2 Al2 Se4'
_space_group_name_H-M_alt 'C m m m'
_space_group_IT_number 65
_space_group_name_Hall '-C 2 2'
_cell_length_a 3.527
_cell_length_b 8.649
_cell_length_c 7.352
_cell_angle_alpha 90.00
_cell_angle_beta 90.00
_cell_angle_gamma 90.00
loop_
_atom_site_label
_atom_site_fract_x
_atom_site_fract_y
_atom_site_fract_z
Li1 0.000 0.000 0.000
Al1 0.000 0.000 0.500
Se1 0.000 0.500 0.270
```

***

3.
Here is an optimized crystal structure of Pa3GeH from Alexandria via LeMat-Bulk. Energies are from GGA-PBE.

Values from the calculation:
Energy relative to the lowest polymorph listed for this composition, meV per atom: 0
VASP energy, eV per cell: -37.82
Volume, A^3/atom: 19.0

CIF file:
```
data_Pa3GeH
_chemical_formula_sum 'Pa3 Ge1 H1'
_space_group_name_H-M_alt 'P m -3 m'
_space_group_IT_number 221
_space_group_name_Hall '-P 4 2 3'
_cell_length_a 4.564
_cell_length_b 4.564
_cell_length_c 4.564
_cell_angle_alpha 90.00
_cell_angle_beta 90.00
_cell_angle_gamma 90.00
loop_
_atom_site_label
_atom_site_fract_x
_atom_site_fract_y
_atom_site_fract_z
Pa1 0.000 0.000 0.500
Ge1 0.500 0.500 0.500
H1 0.000 0.000 0.000
```

***

4.
Here is an optimized crystal structure of BaP2PdCl from Alexandria via LeMat-Bulk. Energies are from GGA-PBE.

Values from the calculation:
Energy relative to the lowest polymorph listed for this composition, meV per atom: 0
VASP energy, eV per cell: -22.51
Volume, A^3/atom: 26.4
Uncorrected formation energy, eV per atom: -0.54

CIF file:
```
data_BaP2PdCl
_chemical_formula_sum 'Ba1 P2 Pd1 Cl1'
_space_group_name_H-M_alt 'P 4/m m m'
_space_group_IT_number 123
_space_group_name_Hall '-P 4 2'
_cell_length_a 4.575
_cell_length_b 4.575
_cell_length_c 6.316
_cell_angle_alpha 90.00
_cell_angle_beta 90.00
_cell_angle_gamma 90.00
loop_
_atom_site_label
_atom_site_fract_x
_atom_site_fract_y
_atom_site_fract_z
Ba1 0.000 0.000 0.000
P1 0.000 0.500 0.500
Pd1 0.500 0.500 0.500
Cl1 0.500 0.500 0.000
```

***

5.
Here is an optimized crystal structure of ZnGa2HgGe from Alexandria via LeMat-Bulk. Energies are from GGA-PBE.

Values from the calculation:
VASP energy, eV per cell: -9.00
Volume, A^3/atom: 26.6
E_form, eV per atom: 0.6487

CIF file:
```
data_ZnGa2HgGe
_chemical_formula_sum 'Zn1 Ga2 Hg1 Ge1'
_space_group_name_H-M_alt 'P 4/m m m'
_space_group_IT_number 123
_space_group_name_Hall '-P 4 2'
_cell_length_a 5.174
_cell_length_b 5.174
_cell_length_c 4.962
_cell_angle_alpha 90.00
_cell_angle_beta 90.00
_cell_angle_gamma 90.00
loop_
_atom_site_label
_atom_site_fract_x
_atom_site_fract_y
_atom_site_fract_z
Zn1 0.000 0.000 0.000
Ga1 0.000 0.500 0.500
Hg1 0.000 0.000 0.500
Ge1 0.500 0.500 0.000
```

***

6.
Here is an optimized crystal structure of TiMnPd6 from Alexandria via LeMat-Bulk. Energies are from GGA-PBE.

Values from the calculation:
Energy relative to the lowest polymorph listed for this composition, meV per atom: 343
VASP energy, eV per cell: -98.11
Volume, A^3/atom: 17.2
E_form, eV per atom: -0.1043

CIF file:
```
data_TiMnPd6
_chemical_formula_sum 'Ti2 Mn2 Pd12'
_space_group_name_H-M_alt 'C 1 2/m 1'
_space_group_IT_number 12
_cell_length_a 7.604
_cell_length_b 5.351
_cell_length_c 7.160
_cell_angle_alpha 90.00
_cell_angle_beta 109.60
_cell_angle_gamma 90.00
loop_
_space_group_symop_operation_xyz
'x,y,z'
'-x,-y,-z'
'-x,y,-z'
'x,-y,z'
'x+1/2,y+1/2,z'
'-x+1/2,-y+1/2,-z'
'-x+1/2,y+1/2,-z'
'x+1/2,-y+1/2,z'
loop_
_atom_site_label
_atom_site_fract_x
_atom_site_fract_y
_atom_site_fract_z
Ti1 0.000 0.000 0.000
Mn1 0.000 0.500 0.500
Pd1 0.142 0.000 0.433
Pd2 0.200 0.242 0.803
```

***

7.
Here is an optimized crystal structure of Nd2Er3Cd3 from Alexandria via LeMat-Bulk. Energies are from GGA-PBE.

Values from the calculation:
VASP energy, eV per cell: -55.44
Volume, A^3/atom: 28.1
E_form, eV per atom: -0.2191

CIF file:
```
data_Nd2Er3Cd3
_chemical_formula_sum 'Nd4 Er6 Cd6'
_space_group_name_H-M_alt 'I m m m'
_space_group_IT_number 71
_space_group_name_Hall '-I 2 2'
_cell_length_a 3.775
_cell_length_b 5.307
_cell_length_c 22.441
_cell_angle_alpha 90.00
_cell_angle_beta 90.00
_cell_angle_gamma 90.00
loop_
_atom_site_label
_atom_site_fract_x
_atom_site_fract_y
_atom_site_fract_z
Nd1 0.000 0.000 0.231
Er1 0.000 0.000 0.000
Er2 0.000 0.500 0.120
Cd1 0.000 0.000 0.500
Cd2 0.000 0.500 0.388
```

***

8.
Here is an optimized crystal structure of Pr6Ag3Hg from Alexandria via LeMat-Bulk. Energies are from GGA-PBE.

Values from the calculation:
VASP energy, eV per cell: -79.12
Volume, A^3/atom: 29.8
E_form, eV per atom: -0.2030

CIF file:
```
data_Pr6Ag3Hg
_chemical_formula_sum 'Pr12 Ag6 Hg2'
_space_group_name_H-M_alt 'P 1 21/m 1'
_space_group_IT_number 11
_cell_length_a 9.533
_cell_length_b 5.172
_cell_length_c 12.508
_cell_angle_alpha 90.00
_cell_angle_beta 105.17
_cell_angle_gamma 90.00
loop_
_space_group_symop_operation_xyz
'x,y,z'
'-x,-y,-z'
'-x,y+1/2,-z'
'x,-y+1/2,z'
loop_
_atom_site_label
_atom_site_fract_x
_atom_site_fract_y
_atom_site_fract_z
Pr1 0.026 0.250 0.109
Pr2 0.150 0.250 0.719
Pr3 0.201 0.750 0.515
Pr4 0.360 0.750 0.114
Pr5 0.377 0.750 0.847
Pr6 0.380 0.250 0.361
Ag1 0.048 0.250 0.361
Ag2 0.163 0.750 0.265
Ag3 0.275 0.250 0.973
Hg1 0.429 0.250 0.636
```

***

9.
Here is an optimized crystal structure of Ti3Zn4Pd2 from Alexandria via LeMat-Bulk. Energies are from GGA-PBE.

Values from the calculation:
VASP energy, eV per cell: -166.11
Volume, A^3/atom: 15.6
E_form, eV per atom: -0.2625

CIF file:
```
data_Ti3Zn4Pd2
_chemical_formula_sum 'Ti12 Zn16 Pd8'
_space_group_name_H-M_alt 'C 1 2/c 1'
_space_group_IT_number 15
_cell_length_a 11.961
_cell_length_b 9.561
_cell_length_c 4.913
_cell_angle_alpha 90.00
_cell_angle_beta 92.89
_cell_angle_gamma 90.00
loop_
_space_group_symop_operation_xyz
'x,y,z'
'-x,-y,-z'
'-x,y,-z+1/2'
'x,-y,z+1/2'
'x+1/2,y+1/2,z'
'-x+1/2,-y+1/2,-z'
'-x+1/2,y+1/2,-z+1/2'
'x+1/2,-y+1/2,z+1/2'
loop_
_atom_site_label
_atom_site_fract_x
_atom_site_fract_y
_atom_site_fract_z
Ti1 0.000 0.119 0.250
Ti2 0.140 0.403 0.106
Zn1 0.070 0.329 0.578
Zn2 0.225 0.147 0.330
Pd1 0.131 0.104 0.829
```

***

10.
Here is an optimized crystal structure of HfAl2SnS from Alexandria via LeMat-Bulk. Energies are from GGA-PBE.

Values from the calculation:
VASP energy, eV per cell: -20.45
Volume, A^3/atom: 27.8
Uncorrected formation energy, eV per atom: 1.02

CIF file:
```
data_HfAl2SnS
_chemical_formula_sum 'Hf1 Al2 Sn1 S1'
_space_group_name_H-M_alt 'P 4/m m m'
_space_group_IT_number 123
_space_group_name_Hall '-P 4 2'
_cell_length_a 5.034
_cell_length_b 5.034
_cell_length_c 5.476
_cell_angle_alpha 90.00
_cell_angle_beta 90.00
_cell_angle_gamma 90.00
loop_
_atom_site_label
_atom_site_fract_x
_atom_site_fract_y
_atom_site_fract_z
Hf1 0.000 0.000 0.000
Al1 0.000 0.500 0.500
Sn1 0.000 0.000 0.500
S1 0.500 0.500 0.000
```

***

11.
Here is an optimized crystal structure of ErTmHf from Alexandria via LeMat-Bulk. Energies are from GGA-PBE.

Values from the calculation:
Energy relative to the lowest polymorph listed for this composition, meV per atom: 28
VASP energy, eV per cell: -37.36
Volume, A^3/atom: 27.2
E_form, eV per atom: 0.1022

CIF file:
```
data_ErTmHf
_chemical_formula_sum 'Er2 Tm2 Hf2'
_space_group_name_H-M_alt 'I 4 m m'
_space_group_IT_number 107
_space_group_name_Hall 'I 4 -2'
_cell_length_a 3.346
_cell_length_b 3.346
_cell_length_c 14.572
_cell_angle_alpha 90.00
_cell_angle_beta 90.00
_cell_angle_gamma 90.00
loop_
_atom_site_label
_atom_site_fract_x
_atom_site_fract_y
_atom_site_fract_z
Er1 0.000 0.000 0.000
Tm1 0.000 0.000 0.689
Hf1 0.000 0.000 0.344
```

***

12.
Here is an optimized crystal structure of Ba4InHg from Alexandria via LeMat-Bulk. Energies are from GGA-PBE.

Values from the calculation:
Energy relative to the lowest polymorph listed for this composition, meV per atom: 599
VASP energy, eV per cell: -36.82
Volume, A^3/atom: 46.2
E_form, eV per atom: 0.2545

CIF file:
```
data_Ba4InHg
_chemical_formula_sum 'Ba16 In4 Hg4'
_space_group_name_H-M_alt 'F -4 3 m'
_space_group_IT_number 216
_space_group_name_Hall 'F -4 2 3'
_cell_length_a 10.348
_cell_length_b 10.348
_cell_length_c 10.348
_cell_angle_alpha 90.00
_cell_angle_beta 90.00
_cell_angle_gamma 90.00
loop_
_atom_site_label
_atom_site_fract_x
_atom_site_fract_y
_atom_site_fract_z
Ba1 0.125 0.125 0.125
In1 0.000 0.000 0.500
Hg1 0.250 0.250 0.750
```